No. 1
Density functional theory data (PBE-GGA) for a relaxed structure of HgSbN.

Cell and atoms, written as extended XYZ:
```
6
Lattice="3.437 -0.133 0.044 0.282 7.269 0.062 0.016 2.372 5.854" Properties=species:S:1:pos:R:3 pbc="T T T"
N 2.624 1.815 2.163
N 1.110 7.693 3.796
Sb 2.866 8.750 4.342
Sb 0.869 0.757 1.617
Hg 2.741 4.611 1.503
Hg 0.994 4.896 4.456
```

uncorrected formation energy	369	meV per atom
polymorph energy (0 for the lowest one)	0.000	eV/atom
space-group type	P2_1/m, No. 11
mass density	7.7	g/cm³


No. 2
Density functional theory data (PBE-GGA) for a relaxed structure of Hg3SbN.

Cell and atoms, written as extended XYZ:
```
5
Lattice="-2.505 0.115 4.101 -1.327 -4.569 -0.682 3.882 -1.488 2.413" Properties=species:S:1:pos:R:3 pbc="T T T"
Sb 0.025 -2.971 2.916
N 0.000 0.000 0.000
Hg -1.252 0.058 2.050
Hg -0.663 -2.285 -0.341
Hg 1.941 -0.744 1.206
```

uncorrected formation energy	839	meV per atom
polymorph energy (0 for the lowest one)	0.000	eV/atom
space-group type	Pm-3m, No. 221
mass density	11.0	g/cm³


No. 3
Density functional theory data (PBE-GGA) for a relaxed structure of HgSb2N.

Cell and atoms, written as extended XYZ:
```
4
Lattice="-1.698 -3.262 3.207 -3.258 1.358 3.369 -4.617 -1.549 -0.307" Properties=species:S:1:pos:R:3 pbc="T T T"
Sb -2.393 -0.863 1.567
Sb -7.180 -2.590 4.701
N 0.000 0.000 0.000
Hg -4.787 -1.726 3.134
```

uncorrected formation energy	1179	meV per atom
polymorph energy (0 for the lowest one)	0.614	eV/atom
space-group type	Fm-3m, No. 225
mass density	9.3	g/cm³


No. 4
Density functional theory data (PBE-GGA) for a relaxed structure of HgSb3N.

Cell and atoms, written as extended XYZ:
```
5
Lattice="-3.048 -3.318 1.753 1.523 -3.157 -3.329 3.429 -1.547 3.036" Properties=species:S:1:pos:R:3 pbc="T T T"
Hg 0.952 -4.011 0.730
Sb 1.715 -0.773 1.518
Sb -1.524 -1.659 0.876
Sb 0.761 -1.579 -1.664
N 0.000 0.000 0.000
```

uncorrected formation energy	596	meV per atom
polymorph energy (0 for the lowest one)	0.000	eV/atom
space-group type	Pm-3m, No. 221
mass density	8.5	g/cm³


No. 5
Density functional theory data (PBE-GGA) for a relaxed structure of HgSb2N.

Cell and atoms, written as extended XYZ:
```
8
Lattice="5.526 0.000 0.000 0.000 5.526 0.000 2.763 2.763 6.586" Properties=species:S:1:pos:R:3 pbc="T T T"
N 2.763 5.526 3.293
N 2.763 2.763 0.000
Hg 0.000 0.000 0.000
Hg 5.526 2.763 3.293
Sb 4.144 4.748 4.939
Sb 3.541 1.381 1.646
Sb 6.907 6.304 4.939
Sb 1.985 4.144 1.646
```

uncorrected formation energy	566	meV per atom
polymorph energy (0 for the lowest one)	0.000	eV/atom
space-group type	I-42d, No. 122
mass density	7.6	g/cm³


No. 6
Density functional theory data (PBE-GGA) for a relaxed structure of Hg2Sb4N3.

Cell and atoms, written as extended XYZ:
```
18
Lattice="-3.044 1.018 -8.760 -1.563 -9.001 -1.891 -5.555 0.546 1.994" Properties=species:S:1:pos:R:3 pbc="T T T"
Sb -5.110 -5.373 -3.956
Sb -6.066 -7.038 -6.166
Sb -2.710 -3.091 -6.704
Sb -5.052 -2.064 -4.702
Sb -3.668 -4.744 -8.922
Sb -4.096 -0.399 -2.492
Sb -0.939 -3.238 -1.729
Sb -1.897 -4.892 -3.947
N -7.143 0.971 -6.952
N -3.692 -3.855 -4.827
N -4.365 0.698 -7.949
N -3.019 -8.408 -1.705
N -6.470 -3.582 -3.830
N -5.797 -8.136 -0.709
Hg -1.390 -0.794 -3.656
Hg -3.217 -7.189 -6.995
Hg -3.788 -3.093 -0.896
Hg -6.374 -4.344 -7.761
```

uncorrected formation energy	252	meV per atom
space-group type	Cccm, No. 66
mass density	6.0	g/cm³


No. 7
Density functional theory data (PBE-GGA) for a relaxed structure of HgSbN.

Cell and atoms, written as extended XYZ:
```
12
Lattice="-10.785 -9.327 -5.379 5.209 -3.282 0.753 -0.110 0.577 3.232" Properties=species:S:1:pos:R:3 pbc="T T T"
Hg -6.484 -7.020 -0.641
Hg -1.091 -2.359 2.049
Hg 0.798 -5.012 -0.754
Hg -4.596 -9.674 -3.443
N -2.308 -8.218 -0.294
N -8.771 -8.477 -3.790
N -3.378 -3.814 -1.100
N 3.085 -3.556 2.395
Sb -9.488 -9.318 -1.995
Sb -1.591 -7.377 -2.089
Sb 3.802 -2.714 0.600
Sb -4.095 -4.656 0.694
```

uncorrected formation energy	503	meV per atom
polymorph energy (0 for the lowest one)	0.134	eV/atom
space-group type	P-1, No. 2
mass density	8.5	g/cm³


No. 8
Density functional theory data (PBE-GGA) for a relaxed structure of Hg4Sb2N3.

Cell and atoms, written as extended XYZ:
```
18
Lattice="2.890 -10.715 0.000 2.890 10.715 0.000 0.000 0.000 6.249" Properties=species:S:1:pos:R:3 pbc="T T T"
Hg 4.172 -1.073 0.000
Hg 2.428 4.202 0.000
Hg 1.607 1.073 0.000
Hg 3.351 4.202 3.125
Hg 2.428 -4.202 3.125
Hg 3.351 -4.202 0.000
Hg 4.172 1.073 3.125
Hg 1.607 -1.073 3.125
N 2.890 6.550 4.687
N 2.890 -6.550 4.687
N 2.890 0.000 1.562
N 2.890 0.000 4.687
N 2.890 -6.550 1.562
N 2.890 6.550 1.562
Sb 3.589 7.723 0.000
Sb 2.190 -7.723 0.000
Sb 3.589 -7.723 3.125
Sb 2.190 7.723 3.125
```

uncorrected formation energy	760	meV per atom
space-group type	Cccm, No. 66
mass density	9.3	g/cm³


No. 9
Density functional theory data (PBE-GGA) for a relaxed structure of HgSb3N.

Cell and atoms, written as extended XYZ:
```
5
Lattice="5.519 0.000 0.000 0.000 5.519 0.000 0.000 0.000 5.519" Properties=species:S:1:pos:R:3 pbc="T T T"
N 2.759 2.759 2.759
Sb 0.000 2.759 0.000
Sb 0.000 0.000 2.759
Sb 2.759 0.000 0.000
Hg 0.000 0.000 0.000
```

uncorrected formation energy	2039	meV per atom
polymorph energy (0 for the lowest one)	1.443	eV/atom
space-group type	Pm-3m, No. 221
mass density	5.7	g/cm³


No. 10
Density functional theory data (PBE-GGA) for a relaxed structure of SiHg2SbN.

Cell and atoms, written as extended XYZ:
```
5
Lattice="-1.265 -5.163 -2.580 0.478 -1.556 2.881 -5.708 0.729 1.341" Properties=species:S:1:pos:R:3 pbc="T T T"
Hg -0.632 -2.581 -1.290
Hg -2.854 0.364 0.670
Sb -3.247 -2.995 0.821
N 0.000 0.000 0.000
Si 0.239 -0.778 1.440
```

uncorrected formation energy	519	meV per atom
polymorph energy (0 for the lowest one)	0.000	eV/atom
space-group type	P4/mmm, No. 123
mass density	8.1	g/cm³


No. 11
Density functional theory data (PBE-GGA) for a relaxed structure of SiHg2SbN.

Cell and atoms, written as extended XYZ:
```
5
Lattice="4.880 0.000 0.000 0.000 4.880 0.000 0.000 0.000 5.459" Properties=species:S:1:pos:R:3 pbc="T T T"
Hg 2.440 0.000 0.000
Hg 0.000 2.440 0.000
N 2.440 2.440 2.729
Sb 0.000 0.000 2.729
Si 0.000 0.000 0.000
```

uncorrected formation energy	1490	meV per atom
polymorph energy (0 for the lowest one)	0.971	eV/atom
space-group type	P4/mmm, No. 123
mass density	7.2	g/cm³


No. 12
Density functional theory data (PBE-GGA) for a relaxed structure of Sm4HgSbN.

Cell and atoms, written as extended XYZ:
```
14
Lattice="6.833 0.000 0.000 0.000 6.836 0.000 -3.416 0.000 7.992" Properties=species:S:1:pos:R:3 pbc="T T T"
Hg 0.000 1.709 1.826
Hg 3.416 5.127 6.166
Sm 3.416 1.709 1.429
Sm 1.708 3.418 3.996
Sm 1.708 0.000 3.996
Sm 0.000 5.127 6.563
Sm 3.416 1.709 6.679
Sm 0.000 5.127 1.314
Sm -1.708 0.000 3.996
Sm -1.708 3.418 3.996
N 3.416 1.709 4.025
N 0.000 5.127 3.967
Sb 0.000 1.709 6.255
Sb 3.416 5.127 1.737
```

uncorrected formation energy	-886	meV per atom
space-group type	Cmcm, No. 63
mass density	8.3	g/cm³


No. 13
Density functional theory data (PBE-GGA) for a relaxed structure of SnHg2SbN.

Cell and atoms, written as extended XYZ:
```
5
Lattice="-1.717 4.322 0.381 -4.833 -1.935 0.172 0.285 -0.297 4.648" Properties=species:S:1:pos:R:3 pbc="T T T"
Sb -3.133 1.045 2.601
Sn -2.417 -0.968 0.086
N 0.000 0.000 0.000
Hg 0.142 -0.148 2.324
Hg -0.859 2.161 0.191
```

uncorrected formation energy	634	meV per atom
space-group type	P4/mmm, No. 123
mass density	9.6	g/cm³